Entry 1:
GGA-PBE Ca2TlTeRu, optimized geometry; formation energy (no corrections) = 0.975 eV/atom; DFT total energy = -2.78 eV per atom; M_tot = 2.83 μB per cell; crystal system = tetragonal; DOS(E_F) = 8.300 states/eV per cell
1.0
5.8523 0.0000 0.0000
0.0000 5.8523 0.0000
0.0000 0.0000 5.6905
Ca Tl Te Ru
2 1 1 1
direct
0.0000 0.5000 0.0000
0.5000 0.0000 0.0000
0.0000 0.0000 0.0000
0.0000 0.0000 0.5000
0.5000 0.5000 0.5000

=====

Entry 2:
GGA-PBE Li2MoAs, optimized geometry; formation enthalpy at 0 K = 0.239 eV/f.u.; DFT total energy = -4.77 eV per atom; M_tot = 0.00 μB per cell; crystal system = orthorhombic; DOS(E_F) = 2.612 states/eV per cell
1.0
1.6955 -2.0519 0.0000
1.6955 2.0519 0.0000
0.0000 0.0000 8.9109
Li Mo As
2 1 1
direct
0.0000 0.0000 0.2313
0.0000 0.0000 0.7687
0.5000 0.5000 0.5000
0.5000 0.5000 0.0000

=====

Entry 3:
GGA-PBE Er3SnS6, optimized geometry; formation energy (no corrections) = -1.595 eV/atom; DFT total energy = -5.84 eV per atom; M_tot = 0.00 μB per cell; crystal system = orthorhombic; DOS(E_F) = 3.128 states/eV per cell
1.0
5.2837 -6.6035 0.0000
5.2837 6.6035 0.0000
0.0000 0.0000 6.6625
Er Sn S
6 2 12
direct
0.0952 0.9048 0.5000
0.2101 0.4146 0.4006
0.4146 0.2101 0.9006
0.5854 0.7899 0.4006
0.7899 0.5854 0.9006
0.9048 0.0952 0.0000
0.3266 0.6734 0.8899
0.6734 0.3266 0.3899
0.0673 0.5989 0.6864
0.1339 0.1960 0.7045
0.1960 0.1339 0.2045
0.2698 0.7302 0.2595
0.4011 0.9327 0.6864
0.4909 0.5091 0.6329
0.5091 0.4909 0.1329
0.5989 0.0673 0.1864
0.7302 0.2698 0.7595
0.8040 0.8661 0.7045
0.8661 0.8040 0.2045
0.9327 0.4011 0.1864

=====

Entry 4:
GGA-PBE BaInCu3, optimized geometry; formation enthalpy at 0 K = 5.732 eV/f.u.; DFT total energy = -2.24 eV per atom; M_tot = 0.00 μB per cell; crystal system = cubic; DOS(E_F) = 0.240 states/eV per cell
1.0
5.8024 0.0000 0.0000
0.0000 5.8024 0.0000
0.0000 0.0000 5.8024
Ba In Cu
1 1 3
direct
0.0000 0.0000 0.0000
0.5000 0.5000 0.5000
0.0000 0.0000 0.5000
0.0000 0.5000 0.0000
0.5000 0.0000 0.0000